The following is a PBE calculation of a geometry-optimized PuHgPb2 structure, from the Alexandria database.

The value obtained for the energy of formation is 0.39 eV per atom. Its volume is 48.0 Å³/atom. The value obtained for the relative energy among the computed polymorphs is 51.4 kJ per mole of atoms.

It has space group R-3m (No. 166, hexagonal axes), with a = 5.4089 Å, b = 5.4089 Å, c = 22.7122 Å, α = 90.00°, β = 90.00° and γ = 120.00°. Symmetry generates all atoms from Pu at (0.0000, 0.0000, 0.0000), Hg at (0.0000, 0.0000, 0.5000) and Pb at (0.0000, 0.0000, 0.3684).